Compound: Ac2PuSe3
Source: Alexandria
Functional: PBE
Structure: optimized geometry

a b c (Å): 7.578 7.578 7.578
angles (deg): 146.51 131.72 60.04
Sites, in units of the cell vectors:
Ac: 0.170 0.170 0.000
Ac: 0.830 0.830 0.000
Pu: 0.500 0.500 0.000
Se: 0.000 0.500 0.500
Se: 0.345 0.845 0.500
Se: 0.655 0.155 0.500

## Properties
- total DFT energy (no corrections) (eV/atom) = -7.2388
- ΔE_f (raw) (eV/atom) = -1.738
- distance to the lowest polymorph of the same formula (eV/atom) = 0.003

=====

Compound: AcPuSe2
Source: Alexandria
Functional: PBE
Structure: optimized geometry

a b c (Å): 5.296 5.296 5.296
angles (deg): 60.00 60.00 60.00
Sites, in units of the cell vectors:
Ac: 0.000 0.000 0.000
Pu: 0.500 0.500 0.500
Se: 0.250 0.250 0.250
Se: 0.750 0.750 0.750

## Properties
- total DFT energy (no corrections) (eV/atom) = -7.7891
- ΔE_f (raw) (eV/atom) = -1.437
- distance to the lowest polymorph of the same formula (eV/atom) = 0.253

=====

Compound: Ac2PuSe4
Source: Alexandria
Functional: PBE
Structure: optimized geometry

a b c (Å): 7.347 7.347 8.746
angles (deg): 120.40 120.40 33.17
Sites, in units of the cell vectors:
Ac: 0.146 0.146 0.205
Ac: 0.854 0.854 0.795
Pu: 0.500 0.500 0.500
Se: 0.165 0.165 0.584
Se: 0.441 0.441 0.126
Se: 0.559 0.559 0.874
Se: 0.835 0.835 0.416

## Properties
- total DFT energy (no corrections) (eV/atom) = -6.9818
- ΔE_f (raw) (eV/atom) = -1.769
- distance to the lowest polymorph of the same formula (eV/atom) = 0.000

=====

Compound: Ac2Pu2Se5
Source: Alexandria
Functional: PBE
Structure: optimized geometry

a b c (Å): 7.925 7.925 8.838
angles (deg): 123.04 123.04 39.58
Sites, in units of the cell vectors:
Ac: 0.118 0.118 0.266
Ac: 0.882 0.882 0.734
Pu: 0.385 0.385 0.189
Pu: 0.615 0.615 0.811
Se: 0.142 0.142 0.934
Se: 0.372 0.372 0.510
Se: 0.500 0.500 0.000
Se: 0.628 0.628 0.490
Se: 0.858 0.858 0.066

## Properties
- total DFT energy (no corrections) (eV/atom) = -7.6828
- ΔE_f (raw) (eV/atom) = -1.649

=====

Compound: AcPuSe2
Source: Alexandria
Functional: PBE
Structure: optimized geometry

a b c (Å): 4.256 4.256 14.505
angles (deg): 90.00 90.00 120.00
Sites, in units of the cell vectors:
Ac: 0.333 0.667 0.250
Ac: 0.667 0.333 0.750
Pu: 0.000 0.000 0.000
Pu: 0.000 0.000 0.500
Se: 0.333 0.667 0.612
Se: 0.333 0.667 0.888
Se: 0.667 0.333 0.112
Se: 0.667 0.333 0.388

## Properties
- total DFT energy (no corrections) (eV/atom) = -8.0205
- ΔE_f (raw) (eV/atom) = -1.668
- distance to the lowest polymorph of the same formula (eV/atom) = 0.022

=====

Compound: Ac5PuSe8
Source: Alexandria
Functional: PBE
Structure: optimized geometry

a b c (Å): 8.067 8.067 8.067
angles (deg): 109.40 109.40 109.61
Sites, in units of the cell vectors:
Ac: 0.000 0.000 0.000
Ac: 0.128 0.252 0.623
Ac: 0.495 0.872 0.124
Ac: 0.629 0.505 0.377
Ac: 0.748 0.371 0.876
Pu: 0.250 0.750 0.500
Se: 0.028 0.624 0.749
Se: 0.223 0.475 0.106
Se: 0.369 0.117 0.894
Se: 0.376 0.125 0.404
Se: 0.525 0.631 0.748
Se: 0.721 0.972 0.596
Se: 0.875 0.279 0.251
Se: 0.883 0.777 0.252

## Properties
- total DFT energy (no corrections) (eV/atom) = -6.4056
- ΔE_f (raw) (eV/atom) = -1.923

=====

Compound: AcPuSe2
Source: Alexandria
Functional: PBE
Structure: optimized geometry

a b c (Å): 7.529 7.529 7.529
angles (deg): 33.14 33.14 33.14
Sites, in units of the cell vectors:
Ac: 0.000 0.000 0.000
Pu: 0.500 0.500 0.500
Se: 0.243 0.243 0.243
Se: 0.757 0.757 0.757

## Properties
- total DFT energy (no corrections) (eV/atom) = -8.0425
- ΔE_f (raw) (eV/atom) = -1.690
- distance to the lowest polymorph of the same formula (eV/atom) = 0.000

=====

Compound: Ac2SmPuSe4
Source: Alexandria
Functional: PBE
Structure: optimized geometry

a b c (Å): 7.457 4.289 7.526
angles (deg): 90.00 109.14 90.00
Sites, in units of the cell vectors:
Ac: 0.000 0.000 0.000
Ac: 0.500 0.500 0.000
Sm: 0.000 0.500 0.500
Pu: 0.500 0.000 0.500
Se: 0.244 0.000 0.730
Se: 0.258 0.500 0.271
Se: 0.742 0.500 0.729
Se: 0.756 0.000 0.270

## Properties
- total DFT energy (no corrections) (eV/atom) = -6.9170
- ΔE_f (raw) (eV/atom) = -1.766

=====

Compound: AcSm2PuSe4
Source: Alexandria
Functional: PBE
Structure: optimized geometry

a b c (Å): 7.364 4.223 7.377
angles (deg): 90.00 109.17 90.00
Sites, in units of the cell vectors:
Ac: 0.000 0.000 0.000
Sm: 0.000 0.500 0.500
Sm: 0.500 0.000 0.500
Pu: 0.500 0.500 0.000
Se: 0.257 0.000 0.745
Se: 0.263 0.500 0.262
Se: 0.737 0.500 0.738
Se: 0.743 0.000 0.255

## Properties
- total DFT energy (no corrections) (eV/atom) = -6.9784
- ΔE_f (raw) (eV/atom) = -1.751

=====

Compound: Ac3SmPu2Se6
Source: Alexandria
Functional: PBE
Structure: optimized geometry

a b c (Å): 7.445 7.445 7.526
angles (deg): 99.49 99.49 120.01
Sites, in units of the cell vectors:
Ac: 0.000 0.000 0.000
Ac: 0.334 0.666 0.000
Ac: 0.666 0.334 0.000
Sm: 0.500 0.500 0.500
Pu: 0.167 0.833 0.500
Pu: 0.833 0.167 0.500
Se: 0.089 0.424 0.271
Se: 0.241 0.241 0.729
Se: 0.424 0.089 0.271
Se: 0.576 0.911 0.729
Se: 0.759 0.759 0.271
Se: 0.911 0.576 0.729

## Properties
- total DFT energy (no corrections) (eV/atom) = -7.2925
- ΔE_f (raw) (eV/atom) = -1.741

=====

Compound: SrAcPu2Se4
Source: Alexandria
Functional: PBE
Structure: optimized geometry

a b c (Å): 7.449 4.293 7.484
angles (deg): 90.00 109.30 90.00
Sites, in units of the cell vectors:
Sr: 0.000 0.000 0.000
Ac: 0.500 0.500 0.000
Pu: 0.000 0.500 0.500
Pu: 0.500 0.000 0.500
Se: 0.241 0.000 0.731
Se: 0.254 0.500 0.267
Se: 0.746 0.500 0.733
Se: 0.759 0.000 0.269

## Properties
- total DFT energy (no corrections) (eV/atom) = -7.7589
- ΔE_f (raw) (eV/atom) = -1.710

=====

Compound: Sr3Ac2PuSe6
Source: Alexandria
Functional: PBE
Structure: optimized geometry

a b c (Å): 9.891 9.891 8.858
angles (deg): 103.57 103.57 25.66
Sites, in units of the cell vectors:
Sr: 0.000 0.000 0.000
Sr: 0.333 0.333 0.665
Sr: 0.667 0.667 0.335
Ac: 0.336 0.336 0.171
Ac: 0.664 0.664 0.829
Pu: 0.000 0.000 0.500
Se: 0.163 0.163 0.578
Se: 0.166 0.166 0.086
Se: 0.498 0.498 0.738
Se: 0.502 0.502 0.262
Se: 0.834 0.834 0.914
Se: 0.837 0.837 0.422

## Properties
- total DFT energy (no corrections) (eV/atom) = -5.9069
- ΔE_f (raw) (eV/atom) = -1.865

=====

Compound: Ac2TbPuSe4
Source: Alexandria
Functional: PBE
Structure: optimized geometry

a b c (Å): 7.400 4.255 7.528
angles (deg): 90.00 108.96 90.00
Sites, in units of the cell vectors:
Ac: 0.000 0.000 0.000
Ac: 0.500 0.500 0.000
Tb: 0.000 0.500 0.500
Pu: 0.500 0.000 0.500
Se: 0.239 0.000 0.725
Se: 0.256 0.500 0.274
Se: 0.744 0.500 0.726
Se: 0.761 0.000 0.275

## Properties
- total DFT energy (no corrections) (eV/atom) = -6.8930
- ΔE_f (raw) (eV/atom) = -1.753

=====

Compound: AcTb2PuSe4
Source: Alexandria
Functional: PBE
Structure: optimized geometry

a b c (Å): 7.270 4.172 7.350
angles (deg): 90.00 109.02 90.00
Sites, in units of the cell vectors:
Ac: 0.000 0.000 0.000
Tb: 0.000 0.500 0.500
Tb: 0.500 0.000 0.500
Pu: 0.500 0.500 0.000
Se: 0.255 0.000 0.738
Se: 0.265 0.500 0.269
Se: 0.735 0.500 0.731
Se: 0.745 0.000 0.262

## Properties
- total DFT energy (no corrections) (eV/atom) = -6.9342
- ΔE_f (raw) (eV/atom) = -1.729

=====

Compound: Ac4Tb3PuSe8
Source: Alexandria
Functional: PBE
Structure: optimized geometry

a b c (Å): 8.666 8.666 8.666
angles (deg): 58.64 58.64 58.64
Sites, in units of the cell vectors:
Ac: 0.000 0.000 0.000
Ac: 0.000 0.500 0.500
Ac: 0.500 0.000 0.500
Ac: 0.500 0.500 0.000
Tb: 0.000 0.000 0.500
Tb: 0.000 0.500 0.000
Tb: 0.500 0.000 0.000
Pu: 0.500 0.500 0.500
Se: 0.239 0.742 0.742
Se: 0.241 0.241 0.241
Se: 0.258 0.258 0.761
Se: 0.258 0.761 0.258
Se: 0.742 0.239 0.742
Se: 0.742 0.742 0.239
Se: 0.759 0.759 0.759
Se: 0.761 0.258 0.258

## Properties
- total DFT energy (no corrections) (eV/atom) = -6.3149
- ΔE_f (raw) (eV/atom) = -1.782

=====

Compound: Ac2Pu2Te2Se3
Source: Alexandria
Functional: PBE
Structure: optimized geometry

a b c (Å): 10.475 10.475 10.475
angles (deg): 149.56 149.56 43.59
Sites, in units of the cell vectors:
Ac: 0.180 0.180 0.000
Ac: 0.820 0.820 0.000
Pu: 0.000 0.500 0.500
Pu: 0.500 0.000 0.500
Te: 0.402 0.402 0.000
Te: 0.598 0.598 0.000
Se: 0.000 0.000 0.000
Se: 0.250 0.750 0.500
Se: 0.750 0.250 0.500

## Properties
- total DFT energy (no corrections) (eV/atom) = -7.3446
- ΔE_f (raw) (eV/atom) = -1.387

=====

Compound: AcPuTe2Se
Source: Alexandria
Functional: PBE
Structure: optimized geometry

a b c (Å): 4.534 4.534 16.118
angles (deg): 90.00 90.00 90.00
Sites, in units of the cell vectors:
Ac: 0.250 0.250 0.136
Ac: 0.750 0.750 0.864
Pu: 0.250 0.250 0.596
Pu: 0.750 0.750 0.404
Te: 0.250 0.250 0.399
Te: 0.250 0.250 0.789
Te: 0.750 0.750 0.211
Te: 0.750 0.750 0.601
Se: 0.250 0.750 0.000
Se: 0.750 0.250 0.000

## Properties
- total DFT energy (no corrections) (eV/atom) = -6.9890
- ΔE_f (raw) (eV/atom) = -1.347

=====

Compound: AcPuTeSe
Source: Alexandria
Functional: PBE
Structure: optimized geometry

a b c (Å): 7.809 7.809 7.809
angles (deg): 32.86 32.86 32.86
Sites, in units of the cell vectors:
Ac: 0.000 0.000 0.000
Pu: 0.514 0.514 0.514
Te: 0.764 0.764 0.764
Se: 0.250 0.250 0.250

## Properties
- total DFT energy (no corrections) (eV/atom) = -7.7509
- ΔE_f (raw) (eV/atom) = -1.484
- distance to the lowest polymorph of the same formula (eV/atom) = 0.000

=====

Compound: AcPuTeSe
Source: Alexandria
Functional: PBE
Structure: optimized geometry

a b c (Å): 5.467 5.467 5.467
angles (deg): 60.00 60.00 60.00
Sites, in units of the cell vectors:
Ac: 0.000 0.000 0.000
Pu: 0.500 0.500 0.500
Te: 0.250 0.250 0.250
Se: 0.750 0.750 0.750

## Properties
- total DFT energy (no corrections) (eV/atom) = -7.5267
- ΔE_f (raw) (eV/atom) = -1.260
- distance to the lowest polymorph of the same formula (eV/atom) = 0.224

=====

Compound: AcPuTl2Se4
Source: Alexandria
Functional: PBE
Structure: optimized geometry

a b c (Å): 7.672 4.417 8.104
angles (deg): 90.00 108.33 90.00
Sites, in units of the cell vectors:
Ac: 0.000 0.000 0.000
Pu: 0.500 0.500 0.000
Tl: 0.000 0.500 0.500
Tl: 0.500 0.000 0.500
Se: 0.252 0.500 0.216
Se: 0.280 0.000 0.794
Se: 0.720 0.000 0.206
Se: 0.748 0.500 0.784

## Properties
- total DFT energy (no corrections) (eV/atom) = -5.8864
- ΔE_f (raw) (eV/atom) = -1.248